# 1
Here is CsH4NF2 after structural relaxation from Alexandria via LeMat-Bulk. Energies are from PBE.

Lattice parameters (Å, degrees): 4.181 7.453 13.932 90.00 90.00 90.00
Fractional positions:
F  0.750  0.390  0.264
H  0.956  0.194  0.073
F  0.250  0.272  0.011
H  0.750  0.543  0.352
F  0.750  0.728  0.989
H  0.956  0.694  0.427
H  0.250  0.736  0.827
F  0.250  0.610  0.736
F  0.750  0.890  0.236
Cs  0.750  0.365  0.860
H  0.456  0.806  0.927
H  0.044  0.806  0.927
H  0.544  0.194  0.073
H  0.750  0.264  0.173
F  0.250  0.110  0.764
F  0.250  0.772  0.489
H  0.044  0.306  0.573
Cs  0.250  0.135  0.360
H  0.250  0.457  0.648
F  0.750  0.228  0.511
H  0.456  0.306  0.573
N  0.250  0.830  0.885
H  0.544  0.694  0.427
H  0.750  0.043  0.148
N  0.750  0.170  0.115
N  0.750  0.670  0.385
Cs  0.750  0.865  0.640
H  0.250  0.957  0.852
Cs  0.250  0.635  0.140
H  0.250  0.236  0.673
N  0.250  0.330  0.615
H  0.750  0.764  0.327

## Properties
E_tot	-149.6	eV for the cell shown
size of the total moment	0.4	μB per cell

***

# 2
Here is SiNiI2 after structural relaxation from Alexandria via LeMat-Bulk. Energies are from PBE.

Lattice parameters (Å, degrees): 5.058 5.058 5.058 60.00 60.00 60.00
Last column: magnetic moment on the atom in μB.
Fractional positions:
Si  0.000  0.000  0.000  -0.01
I  0.750  0.750  0.750  0.01
Ni  0.500  0.500  0.500  0.17
I  0.250  0.250  0.250  0.01

## Properties
E_tot	-11.2	eV for the cell shown
size of the total moment	0.1	μB per cell
E_form (uncorrected)	300	kJ/mol of formula units
E above lowest polymorph	1.07	eV/f.u.